Crystalline Li2AcGa4Pd at its relaxed geometry, computed with GGA-PBE.

Space-group type: R-3m

Cell lengths 4.3661, 4.3661, 9.7342 Å; angles 77.04, 77.04, 60.00 degrees
Fractional positions:
Li: 0.7749 0.7749 0.6754
Li: 0.2251 0.2251 0.3246
Ac: 0.0000 0.0000 0.0000
Ga: 0.4082 0.4082 0.7755
Ga: 0.8726 0.8726 0.3823
Ga: 0.1274 0.1274 0.6177
Ga: 0.5918 0.5918 0.2245
Pd: 0.5000 0.5000 0.5000


Crystalline LiAcGa2Pd at its relaxed geometry, computed with GGA-PBE.

Space-group type: I-4m2

Cell lengths 4.6761, 4.6761, 5.8608 Å; angles 113.51, 113.51, 90.00 degrees
Fractional positions:
Li: 0.2500 0.7500 0.5000
Ac: 0.0000 0.0000 0.0000
Ga: 0.6302 0.6302 0.2605
Ga: 0.3698 0.3698 0.7395
Pd: 0.7500 0.2500 0.5000


Crystalline LiAc2Ga4Pd3 at its relaxed geometry, computed with GGA-PBE.

Space-group type: P-4m2

Cell lengths 4.5161, 4.5161, 10.2719 Å; angles 90.00, 90.00, 90.00 degrees
Fractional positions:
Li: 0.5000 0.5000 0.5000
Ac: 0.5000 0.0000 0.2479
Ac: 0.0000 0.5000 0.7521
Ga: 0.5000 0.5000 0.0000
Ga: 0.0000 0.0000 0.0000
Ga: 0.5000 0.0000 0.6205
Ga: 0.0000 0.5000 0.3795
Pd: 0.0000 0.0000 0.5000
Pd: 0.5000 0.0000 0.8707
Pd: 0.0000 0.5000 0.1293


Crystalline LiAc2Ga6Pd at its relaxed geometry, computed with GGA-PBE.

Space-group type: P-1

Cell lengths 6.8488, 6.8590, 6.8404 Å; angles 59.94, 59.95, 90.76 degrees
Fractional positions:
Li: 0.5000 0.5000 0.0000
Ac: 0.2846 0.7147 0.5004
Ac: 0.7154 0.2853 0.4996
Ga: 0.2604 0.7405 0.9996
Ga: 0.7766 0.7771 0.9307
Ga: 0.2193 0.2190 0.4850
Ga: 0.7396 0.2595 0.0004
Ga: 0.2234 0.2229 0.0693
Ga: 0.7807 0.7810 0.5150
Pd: 0.0000 0.0000 0.0000


Crystalline LiAcGa4Pd2 at its relaxed geometry, computed with GGA-PBE.

Space-group type: R-3m

Cell lengths 4.3623, 4.3623, 9.5537 Å; angles 76.80, 76.80, 60.00 degrees
Fractional positions:
Li: 0.5000 0.5000 0.5000
Ac: 0.0000 0.0000 0.0000
Ga: 0.4062 0.4062 0.7814
Ga: 0.8708 0.8708 0.3875
Ga: 0.1292 0.1292 0.6125
Ga: 0.5938 0.5938 0.2186
Pd: 0.7727 0.7727 0.6820
Pd: 0.2273 0.2273 0.3180


Crystalline LiAcGaPd at its relaxed geometry, computed with GGA-PBE.

Space-group type: F-43m

Cell lengths 4.9664, 4.9664, 4.9664 Å; angles 60.00, 60.00, 60.00 degrees
Fractional positions:
Ac: 0.7500 0.7500 0.7500
Ga: 0.2500 0.2500 0.2500
Pd: 0.0000 0.0000 0.0000
Li: 0.5000 0.5000 0.5000


Crystalline LiAcGaPd at its relaxed geometry, computed with GGA-PBE.

Space-group type: R3m

Cell lengths 4.5125, 4.5121, 5.8123 Å; angles 112.87, 90.00, 120.00 degrees
Fractional positions:
Li: 0.8173 0.6347 0.0940
Ac: 0.6216 0.2432 0.5065
Ga: 0.1025 0.2050 0.9499
Pd: 0.4248 0.8497 0.9169


Crystalline Li3Ac2GaPt4 at its relaxed geometry, computed with GGA-PBE.

Space-group type: P-4m2

Cell lengths 4.3137, 4.3137, 10.5539 Å; angles 90.00, 90.00, 90.00 degrees
Fractional positions:
Li: 0.0000 0.0000 0.5000
Li: 0.5000 0.0000 0.8822
Li: 0.0000 0.5000 0.1178
Ac: 0.5000 0.0000 0.2329
Ac: 0.0000 0.5000 0.7671
Ga: 0.5000 0.5000 0.5000
Pt: 0.5000 0.5000 0.0000
Pt: 0.0000 0.0000 0.0000
Pt: 0.5000 0.0000 0.6377
Pt: 0.0000 0.5000 0.3623


What did we get for D(E_F)? Answer: 4.1 2.7 7.5 4.8 3.4 5.5 3.6 2.1 states/eV/f.u., in the order shown.
What did we get for energy relative to the elements? Answer: -0.476 -0.588 -0.700 -0.367 -0.616 -0.416 -0.570 -0.828 eV per atom, in the order shown.